# 1
CdPb2Se2 PBE optimized geometry; excess energy over the best structure of this formula in the dataset = 15.2 meV per atom; formation energy from raw total energies = -0.227 eV/atom; uncorrected energy = -3.29 eV per atom; SG = No. 127
1.0
-7.451 -0.010 4.029
2.468 -6.707 4.548
1.496 2.430 2.772
Se Pb Cd
4 4 2
Direct
0.654 0.846 0.500
0.154 0.654 0.500
0.846 0.346 0.500
0.346 0.154 0.500
0.147 0.353 0.000
0.647 0.147 0.000
0.853 0.647 0.000
0.353 0.853 0.000
0.500 0.500 0.000
0.000 0.000 0.000

***

# 2
CdH2F PBE optimized geometry; excess energy over the best structure of this formula in the dataset = 480.0 meV per atom; uncorrected energy = -2.65 eV per atom; SG = No. 141
1.0
-2.375 0.989 -2.259
0.741 -2.705 -1.963
-5.941 -4.891 1.511
F Cd H
2 2 4
Direct
0.500 0.500 0.000
0.250 0.750 0.500
0.750 0.250 0.500
0.000 0.000 0.000
0.875 0.125 0.750
0.875 0.625 0.250
0.375 0.125 0.750
0.875 0.125 0.250

***

# 3
NaIrO PBE optimized geometry; excess energy over the best structure of this formula in the dataset = 204.8 meV per atom; formation energy from raw total energies = -0.526 eV/atom; uncorrected energy = -5.57 eV per atom; SG = No. 47
1.0
2.919 0.000 0.000
0.000 3.753 0.000
0.000 0.000 4.218
Ir O Na
1 1 1
Direct
0.500 0.500 0.000
0.500 0.000 0.000
0.000 0.000 0.500

***

# 4
Sr2ZrCu PBE optimized geometry; excess energy over the best structure of this formula in the dataset = 0.0 meV per atom; energy relative to the elements = 0.20 eV/atom; uncorrected energy = -3.81 eV per atom; SG = No. 99
1.0
-0.808 -3.503 0.134
3.087 -0.648 1.729
-4.486 1.360 8.519
Zr Sr Cu
1 2 1
Direct
0.000 0.000 0.578
0.500 0.500 0.300
0.000 0.000 0.928
0.500 0.500 0.693

***

# 5
TaPt2Se PBE optimized geometry; formation energy from raw total energies = -0.262 eV/atom; uncorrected energy = -7.12 eV per atom; SG = No. 123
1.0
-2.639 1.378 -1.975
-2.124 -2.706 0.950
-1.712 2.843 4.269
Pt Se Ta
2 1 1
Direct
0.000 0.000 0.988
0.000 0.000 0.512
0.500 0.500 0.250
0.500 0.500 0.750

***

# 6
Cu6PbO8 PBE optimized geometry; excess energy over the best structure of this formula in the dataset = 0.0 meV per atom; formation energy from raw total energies = -0.665 eV/atom; uncorrected energy = -5.20 eV per atom; SG = No. 225
1.0
6.605 0.000 0.000
3.302 5.720 0.000
3.302 1.907 5.393
Cu O Pb
6 8 1
Direct
0.000 0.500 0.500
0.000 0.500 0.000
0.500 0.000 0.500
0.500 0.500 0.000
0.500 0.000 0.000
0.000 0.000 0.500
0.432 0.856 0.856
0.568 0.144 0.144
0.856 0.856 0.856
0.144 0.568 0.144
0.144 0.144 0.144
0.144 0.144 0.568
0.856 0.432 0.856
0.856 0.856 0.432
0.000 0.000 0.000

***

Among the records above, which one has the highest uncorrected energy?
CdH2F